Material: PuBiI6
Method: DFT, PBE
State: optimized geometry

```
PuBiI6
1.0
7.6850 0.0114 0.0059
3.8341 6.6611 0.0111
3.8351 2.2158 7.0394
Pu Bi I
1 1 6
Direct
0.0000 0.0000 0.0000
0.5000 0.5000 0.5000
0.0799 0.4176 0.7501
0.7523 0.0799 0.7501
0.5824 0.2477 0.2500
0.2477 0.9201 0.2499
0.9201 0.5824 0.2499
0.4176 0.7523 0.7500
```

For the uncorrected energy, the calculation gives -33.05 eV per formula unit. The uncorrected formation energy is -0.692 eV/atom.

---

Material: PuBiI
Method: DFT, PBE
State: optimized geometry

```
PuBiI
1.0
-3.7244 -0.0765 -0.5986
0.9251 -4.6426 -5.1618
0.6853 -3.5662 8.0819
Pu I Bi
2 2 2
Direct
0.8792 0.3792 0.7584
0.1208 0.6208 0.2416
0.5000 0.7548 0.0000
0.5000 0.2452 0.0000
0.2144 0.2144 0.4289
0.7856 0.7856 0.5711
```

For the uncorrected energy, the calculation gives -20.84 eV per formula unit. The uncorrected formation energy is -0.359 eV/atom.